Computed, not measured: an optimized crystal structure of Sr2MnIn at the PBE-GGA level of DFT.

V ... 32.4 Å³/atom
VASP energy ... -3.709 eV per atom
Space group ... P4/mmm, No. 123
Calculated formation energy ... 0.44 eV/f.u.
Density ... 4.4 g cm⁻³

extended XYZ file:
```
4
Lattice="5.5513 0.0000 0.0000 0.0000 5.5521 0.0000 0.0000 0.0000 4.2023" Properties=species:S:1:pos:R:3 pbc="T T T"
Mn 0.0000 2.7760 2.1012
Sr 2.7757 2.7760 0.0000
Sr 0.0000 0.0000 0.0000
In 2.7757 0.0000 2.1012
```

Computed, not measured: an optimized crystal structure of Sr2MnIn at the PBE-GGA level of DFT.

V ... 32.3 Å³/atom
VASP energy ... -3.702 eV per atom
Space group ... Pmmm, No. 47
Calculated formation energy ... 0.46 eV/f.u.
Density ... 4.4 g cm⁻³

extended XYZ file:
```
4
Lattice="4.0993 0.0000 0.0000 0.0000 3.9774 0.0132 0.0000 3.9457 7.9280" Properties=species:S:1:pos:R:3 pbc="T T T"
Sr 0.0000 3.9606 4.0245
Sr 0.0000 3.9466 7.8741
In 2.0497 1.9808 1.9853
Mn 2.0497 5.9423 5.9559
```

Computed, not measured: an optimized crystal structure of Sr2MnIn at the PBE-GGA level of DFT.

V ... 34.5 Å³/atom
VASP energy ... -3.503 eV per atom
Space group ... R-3m, No. 166
Calculated formation energy ... 1.26 eV/f.u.
Density ... 4.2 g cm⁻³

extended XYZ file:
```
4
Lattice="10.4331 0.0254 0.0151 9.6743 3.9060 0.0151 9.6743 1.8915 3.4175" Properties=species:S:1:pos:R:3 pbc="T T T"
Sr 15.0059 2.9340 1.7371
Sr 29.6666 5.8005 3.4343
In 22.3363 4.3672 2.5857
Mn 7.4454 1.4557 0.8619
```

Computed, not measured: an optimized crystal structure of Sr2MnIn at the PBE-GGA level of DFT.

V ... 33.4 Å³/atom
VASP energy ... -3.686 eV per atom
Space group ... P4mm, No. 99
Calculated formation energy ... 0.53 eV/f.u.
Density ... 4.3 g cm⁻³

extended XYZ file:
```
4
Lattice="3.7995 0.0000 0.0000 0.0000 3.7995 0.0000 0.0000 0.0000 9.2545" Properties=species:S:1:pos:R:3 pbc="T T T"
Sr 0.0000 0.0000 8.6507
In 0.0000 0.0000 5.2248
Mn 1.8998 1.8998 6.3514
Sr 1.8998 1.8998 2.9095
```

Computed, not measured: an optimized crystal structure of SrMnIn2 at the PBE-GGA level of DFT.

V ... 26.7 Å³/atom
VASP energy ... -3.939 eV per atom
Space group ... I-4m2, No. 119
Calculated formation energy ... 0.57 eV/f.u.
Density ... 5.8 g cm⁻³

extended XYZ file:
```
4
Lattice="5.7133 -0.0612 0.0000 1.6989 5.4552 0.0000 -3.7061 -2.6970 3.4113" Properties=species:S:1:pos:R:3 pbc="T T T"
Sr 2.8567 -0.0306 1.7056
Mn 3.7061 2.6970 0.0000
In 0.0000 0.0000 0.0000
In 0.8495 2.7276 1.7056
```

Computed, not measured: an optimized crystal structure of SrMn3In at the PBE-GGA level of DFT.

Energy relative to the lowest polymorph listed for this composition ... 92.7 kJ/mol of atoms
V ... 31.3 Å³/atom
VASP energy ... -4.593 eV per atom
Space group ... Pm-3m, No. 221
Calculated formation energy ... 8.96 eV/f.u.
Density ... 3.9 g cm⁻³

extended XYZ file:
```
5
Lattice="5.3909 0.0000 0.0000 0.0000 5.3909 0.0000 0.0000 0.0000 5.3909" Properties=species:S:1:pos:R:3 pbc="T T T"
Sr 0.0000 0.0000 0.0000
Mn 2.6955 0.0000 0.0000
Mn 0.0000 2.6955 0.0000
Mn 0.0000 0.0000 2.6955
In 2.6955 2.6955 2.6955
```